# 1
Here is Ac6Bi3SbSe2 after structural relaxation from Alexandria via LeMat-Bulk. Energies are from PBE.

```
data_Ac6Bi3SbSe2
_cell_length_a 20.619
_cell_length_b 4.753
_cell_length_c 9.448
_cell_angle_alpha 90.00
_cell_angle_beta 103.03
_cell_angle_gamma 90.00
_symmetry_space_group_name_H-M 'C 1 2/m 1'
_symmetry_Int_Tables_number 12
loop_
_symmetry_equiv_pos_as_xyz
'x,y,z'
'-x,-y,-z'
'-x,y,-z'
'x,-y,z'
'x+1/2,y+1/2,z'
'-x+1/2,-y+1/2,-z'
'-x+1/2,y+1/2,-z'
'x+1/2,-y+1/2,z'
loop_
_atom_site_label
_atom_site_type_symbol
_atom_site_fract_x
_atom_site_fract_y
_atom_site_fract_z
_atom_site_occupancy
Ac1 Ac 0.004 0.000 0.249 1
Ac2 Ac 0.166 0.500 0.090 1
Ac3 Ac 0.169 0.500 0.576 1
Bi1 Bi 0.000 0.500 0.500 1
Bi2 Bi 0.166 0.000 0.831 1
Sb1 Sb 0.000 0.500 0.000 1
Se1 Se 0.169 0.000 0.335 1
```

Computed properties:
**ρ**: 8.4 g/cm3
**VASP energy**: -0.387 Ry/atom
**Crystal system**: monoclinic
**Spin magnetization**: 0.00 μB/f.u.
**ΔE_f (raw)**: -15.85 eV/f.u.

---

# 2
Here is AcTb2ThS4 after structural relaxation from Alexandria via LeMat-Bulk. Energies are from PBE.

```
data_AcTb2ThS4
_cell_length_a 6.951
_cell_length_b 3.992
_cell_length_c 7.143
_cell_angle_alpha 90.00
_cell_angle_beta 108.83
_cell_angle_gamma 90.00
_symmetry_space_group_name_H-M 'P 1 2/m 1'
_symmetry_Int_Tables_number 10
loop_
_symmetry_equiv_pos_as_xyz
'x,y,z'
'-x,-y,-z'
'-x,y,-z'
'x,-y,z'
loop_
_atom_site_label
_atom_site_type_symbol
_atom_site_fract_x
_atom_site_fract_y
_atom_site_fract_z
_atom_site_occupancy
Ac1 Ac 0.000 0.000 0.000 1
Tb1 Tb 0.000 0.500 0.500 1
Tb2 Tb 0.500 0.000 0.500 1
Th1 Th 0.500 0.500 0.000 1
S1 S 0.251 0.000 0.732 1
S2 S 0.265 0.500 0.273 1
```

Computed properties:
**ρ**: 8.0 g/cm3
**VASP energy**: -0.485 Ry/atom
**Crystal system**: monoclinic
**Spin magnetization**: 0.00 μB/f.u.
**ΔE_f (raw)**: -15.49 eV/f.u.

---

# 3
Here is Ni2PtRh5 after structural relaxation from Alexandria via LeMat-Bulk. Energies are from PBE.

```
data_Ni2PtRh5
_cell_length_a 5.392
_cell_length_b 10.791
_cell_length_c 3.794
_cell_angle_alpha 90.00
_cell_angle_beta 90.00
_cell_angle_gamma 90.00
_symmetry_space_group_name_H-M 'P b a m'
_symmetry_Int_Tables_number 55
loop_
_symmetry_equiv_pos_as_xyz
'x,y,z'
'-x,-y,-z'
'-x,-y,z'
'x,y,-z'
'x+1/2,-y+1/2,-z'
'-x+1/2,y+1/2,z'
'-x+1/2,y+1/2,-z'
'x+1/2,-y+1/2,z'
loop_
_atom_site_label
_atom_site_type_symbol
_atom_site_fract_x
_atom_site_fract_y
_atom_site_fract_z
_atom_site_occupancy
Ni1 Ni 0.249 0.126 0.000 1
Pt1 Pt 0.000 0.000 0.500 1
Rh1 Rh 0.000 0.500 0.500 1
Rh2 Rh 0.004 0.748 0.500 1
Rh3 Rh 0.245 0.373 0.000 1
```

Computed properties:
**ρ**: 12.4 g/cm3
**VASP energy**: -0.498 Ry/atom
**Offset from the most stable computed form**: 15.3 meV per atom
**Crystal system**: orthorhombic
**Spin magnetization**: 4.26 μB/f.u.